# 1
Compound: Pm3Al4Ga4
Source: the Alexandria database
Functional: PBE
Structure: relaxed

The structure in POSCAR format:
```
Pm3Al4Ga4
1.0
-2.159 3.591 7.478
2.159 -3.591 7.478
2.159 3.591 -7.478
Pm Al Ga
3 4 4
Direct
0.000 0.000 0.000
0.371 0.871 0.500
0.629 0.129 0.500
0.028 0.343 0.684
0.341 0.657 0.684
0.659 0.343 0.316
0.972 0.657 0.316
0.217 0.217 0.000
0.322 0.500 0.822
0.678 0.500 0.178
0.783 0.783 0.000
```

Properties
- space group = No. 71
- raw total energy (eV/atom) = -4.235
- crystal system = orthorhombic
- theoretical density (Mg/m³) = 5.88
- DFT formation energy (eV per formula unit) = -5.25
- calculated volume (A^3/atom) = 21.1

# 2
Compound: WSeBr4
Source: the Alexandria database
Functional: PBE
Structure: relaxed

The structure in POSCAR format:
```
WSeBr4
1.0
0.000 4.285 4.285
4.285 0.000 4.285
4.285 4.285 0.000
W Se Br
1 1 4
Direct
0.000 0.000 0.000
0.250 0.250 0.250
0.123 0.626 0.626
0.626 0.123 0.626
0.626 0.626 0.123
0.626 0.626 0.626
```

Properties
- space group = No. 216
- raw total energy (eV/atom) = -2.302
- crystal system = cubic
- ΔE_f (raw) (eV/atom) = 1.55
- theoretical density (Mg/m³) = 6.15
- calculated volume (A^3/atom) = 26.2

# 3
Compound: Cd2CoNi2
Source: the Alexandria database
Functional: PBE
Structure: relaxed

The structure in POSCAR format:
```
Cd2CoNi2
1.0
6.071 0.000 0.000
0.000 6.071 0.000
0.000 0.000 4.148
Cd Co Ni
4 2 4
Direct
0.174 0.326 0.000
0.326 0.826 0.000
0.674 0.174 0.000
0.826 0.674 0.000
0.000 0.000 0.500
0.500 0.500 0.500
0.135 0.635 0.500
0.365 0.135 0.500
0.635 0.865 0.500
0.865 0.365 0.500
```

Properties
- space group = No. 127
- raw total energy (eV/atom) = -3.896
- crystal system = tetragonal
- theoretical density (Mg/m³) = 8.71
- DFT formation energy (eV per formula unit) = 1.02
- calculated volume (A^3/atom) = 15.3

# 4
Compound: LaTb2Ir
Source: the Alexandria database
Functional: PBE
Structure: relaxed

The structure in POSCAR format:
```
LaTb2Ir
1.0
3.522 0.000 0.000
0.000 3.522 0.000
0.000 0.000 9.044
La Tb Ir
1 2 1
Direct
0.000 0.000 0.000
0.500 0.500 0.321
0.500 0.500 0.679
0.000 0.000 0.500
```

Properties
- space group = No. 123
- raw total energy (eV/atom) = -6.166
- crystal system = tetragonal
- theoretical density (Mg/m³) = 9.60
- DFT formation energy (eV per formula unit) = -1.62
- calculated volume (A^3/atom) = 28.1

# 5
Compound: BeTe2Ir
Source: the Alexandria database
Functional: PBE
Structure: relaxed

The structure in POSCAR format:
```
BeTe2Ir
1.0
-1.859 2.986 3.715
1.859 -2.986 3.715
1.859 2.986 -3.715
Be Te Ir
1 2 1
Direct
0.000 0.000 0.000
0.239 0.739 0.500
0.761 0.261 0.500
0.500 0.500 0.000
```

Properties
- space group = No. 71
- raw total energy (eV/atom) = -4.101
- crystal system = orthorhombic
- ΔE_f (raw) (eV/atom) = 0.62
- theoretical density (Mg/m³) = 9.19
- calculated volume (A^3/atom) = 20.6

# 6
Compound: Li2Ce3Tl7
Source: the Alexandria database
Functional: PBE
Structure: relaxed

The structure in POSCAR format:
```
Li2Ce3Tl7
1.0
2.391 -14.457 0.000
2.391 14.457 0.000
0.000 0.000 4.630
Li Ce Tl
2 3 7
Direct
0.133 0.867 0.000
0.867 0.133 0.000
0.319 0.681 0.500
0.500 0.500 0.500
0.681 0.319 0.500
0.000 0.000 0.000
0.086 0.914 0.500
0.220 0.780 0.000
0.412 0.588 0.000
0.588 0.412 0.000
0.780 0.220 0.000
0.914 0.086 0.500
```

Properties
- space group = No. 65
- raw total energy (eV/atom) = -3.338
- crystal system = orthorhombic
- theoretical density (Mg/m³) = 9.67
- DFT formation energy (eV per formula unit) = -1.86
- calculated volume (A^3/atom) = 26.7